Record 1
Below is a relaxed structure of Nb3CrCd, with properties calculated at the PBE-GGA level.

Unit cell a=4.6476 b=4.6476 c=4.6476 alpha=90.00 beta=90.00 gamma=90.00
Closest atoms and distances in Å follow each position.
Space group Pm-3m (No. 221)
Unique sites:
Nb  0.0000  0.0000  0.5000 (multiplicity 3)  2 Cr 2.32
Cr  0.0000  0.0000  0.0000 (multiplicity 1)  6 Nb 2.32
Cd  0.5000  0.5000  0.5000 (multiplicity 1)  12 Nb 3.29

DOS(E_F) = 4.327 states/eV per cell
Uncorrected energy = -36.9 eV/f.u.
Crystal system = cubic
Size of the total moment = 0.000 Bohr magnetons per cell
Formation energy from the elements = 770 meV/atom



Record 2
Below is a relaxed structure of NbCr2Cd, with properties calculated at the PBE-GGA level.

Unit cell a=7.1031 b=7.1031 c=5.7790 alpha=90.00 beta=90.00 gamma=90.00
Closest atoms and distances in Å follow each position.
Space group I-42d (No. 122)
Unique sites:
Nb  0.0000  0.0000  0.0000 (multiplicity 4)  4 Cr 2.52
Cr  0.2307  0.2500  0.1250 (multiplicity 8)  2 Nb 2.52, 2 Cd 2.71
Cd  0.0000  0.0000  0.5000 (multiplicity 4)  4 Cr 2.71, 2 Nb 2.89

DOS(E_F) = 6.729 states/eV per cell
Uncorrected energy = -26.6 eV/f.u.
Crystal system = tetragonal
Size of the total moment = 19.991 Bohr magnetons per cell
Formation energy from the elements = 911 meV/atom